1.
Pr12AlNi6 after structural relaxation. Source: Alexandria, functional PBE-GGA.

Cell: 8.7500 8.7500 8.7500 Å, 109.47 109.47 109.47°
With the nearest neighbours (Å) after each atom.
Positions (direct):
Pr 0.1847 0.3053 0.4899  3 Ni 2.78-2.98
Ni 0.5000 0.8786 0.3786  1 Ni 2.45
Ni 0.6214 0.5000 0.1214  1 Ni 2.45
Pr 0.8153 0.3053 0.1206  3 Ni 2.78-2.98
Pr 0.6947 0.5101 0.8153  3 Ni 2.78-2.98
Pr 0.1847 0.6947 0.8794  3 Ni 2.78-2.98
Pr 0.8153 0.6947 0.5101  3 Ni 2.78-2.98
Ni 0.8786 0.3786 0.5000  1 Ni 2.45
Pr 0.5101 0.8153 0.6947  3 Ni 2.78-2.98
Pr 0.3053 0.1206 0.8153  3 Ni 2.78-2.98
Pr 0.1206 0.8153 0.3053  3 Ni 2.78-2.98
Pr 0.3053 0.4899 0.1847  3 Ni 2.78-2.98
Ni 0.1214 0.6214 0.5000  1 Ni 2.45
Pr 0.4899 0.1847 0.3053  3 Ni 2.78-2.98
Ni 0.3786 0.5000 0.8786  1 Ni 2.45
Pr 0.6947 0.8794 0.1847  3 Ni 2.78-2.98
Pr 0.8794 0.1847 0.6947  3 Ni 2.78-2.98
Al 0.0000 0.0000 0.0000  12 Pr 3.60
Ni 0.5000 0.1214 0.6214  1 Ni 2.45

Calculated values
N(E_F): 0.853 states/eV per atom
total DFT energy (no corrections): -100.07 eV for the cell shown
M_tot: 0.0 μB per formula unit
space-group type: Im-3 (204)

2.
PrMg2Zn9 after structural relaxation. Source: Alexandria, functional PBE-GGA.

Cell: 5.3491 5.3491 8.9748 Å, 72.66 72.66 60.00°
With the nearest neighbours (Å) after each atom.
Positions (direct):
Zn 0.0800 0.5889 0.7422  7 Zn 2.58-2.72
Mg 0.1415 0.1415 0.5756  12 Zn 3.02-3.15, 3 Mg 3.34
Zn 0.5889 0.0800 0.7422  7 Zn 2.58-2.72
Zn 0.3337 0.3337 0.9990  6 Zn 2.66-2.67
Zn 0.5889 0.5889 0.7422  7 Zn 2.58-2.72
Zn 0.5000 0.5000 0.5000  6 Zn 2.58
Zn 0.4111 0.4111 0.2578  7 Zn 2.58-2.72
Zn 0.9200 0.4111 0.2578  7 Zn 2.58-2.72
Mg 0.8585 0.8585 0.4244  12 Zn 3.02-3.15, 3 Mg 3.34
Zn 0.4111 0.9200 0.2578  7 Zn 2.58-2.72
Zn 0.6663 0.6663 0.0010  6 Zn 2.66-2.67
Pr 0.0000 0.0000 0.0000  18 Zn 3.09-3.45

Calculated values
energy above the most stable polymorph in this dataset: 0.0 meV per atom
N(E_F): 0.369 states/eV per atom
total DFT energy (no corrections): -21.83 eV for the cell shown
M_tot: 0.0 μB per formula unit
space-group type: R-3m (166)

3.
AcNpSbRu after structural relaxation. Source: Alexandria, functional PBE-GGA.

Cell: 5.1326 5.1326 5.1326 Å, 60.00 60.00 60.00°
With the nearest neighbours (Å) after each atom.
Positions (direct):
Ac 0.2500 0.2500 0.2500  4 Ru 3.14, 4 Np 3.14
Np 0.0000 0.0000 0.0000  4 Ac 3.14, 4 Sb 3.14
Ru 0.5000 0.5000 0.5000  4 Sb 3.14, 4 Ac 3.14
Sb 0.7500 0.7500 0.7500  4 Np 3.14, 4 Ru 3.14

Calculated values
N(E_F): 3.951 states/eV per atom
total DFT energy (no corrections): -29.44 eV for the cell shown
M_tot: 5.0 μB per formula unit
space-group type: F-43m (216)

- The highest N(E_F) belongs to which entry?
  AcNpSbRu